Material: Li2Os2C
Method: DFT, PBE-GGA
State: relaxed

a = 5.1753 Å, b = 5.1753 Å, c = 4.1608 Å
α = 90.00°, β = 90.00°, γ = 90.00°
Last column: nearest neighbours and their distance in Å.
Space group P4/mbm (No. 127)
Asymmetric unit:
1 Li 0.1436 0.3564 0.0000 [4 per cell]  2 C 1.99, 1 Li 2.10
2 Os 0.1757 0.6757 0.5000 [4 per cell]  6 Li 2.47-2.66, 5 Os 2.57-2.70
3 C 0.0000 0.0000 0.0000 [2 per cell]  4 Li 1.99

## Properties
Total moment ... 0.0 μB/cell
ΔH_f (0 K) ... 26.489 kcal/mol of atoms
D(E_F) ... 8.82 states/eV/cell



Material: Rb5O
Method: DFT, PBE-GGA
State: relaxed

a = 3.9883 Å, b = 32.9504 Å, c = 5.4865 Å
α = 90.00°, β = 90.00°, γ = 90.00°
Last column: nearest neighbours and their distance in Å.
Space group Cmmm (No. 65)
Asymmetric unit:
1 Rb 0.0000 0.0000 0.0000 [2 per cell]  4 O 3.39, 4 Rb 3.42
2 Rb 0.0000 0.0617 0.5000 [4 per cell]  2 O 2.85
3 Rb 0.0000 0.3202 0.0000 [4 per cell]  2 Rb 3.99
4 O 0.0000 0.5000 0.5000 [2 per cell]  4 Rb 2.85

## Properties
Total moment ... 0.0 μB/cell
Uncorrected formation energy ... -333 meV/atom
D(E_F) ... 5.98 states/eV/cell



no.,VASP energy (eV per atom)
1,-5.9535
2,-1.9661